# 1
Density functional theory data (GGA-PBE) for a relaxed Tb2Ni9Au crystal.

Geometry as POSCAR:
```
Tb2Ni9Au
1.0
4.9296 0.0000 0.0000
2.4648 4.2692 0.0000
2.4648 1.4231 8.0042
Tb Ni Au
2 9 1
Cartesian
2.4648 1.4231 4.7921 Tb
7.3944 4.2692 3.2120 Tb
7.3944 4.2692 7.9956 Ni
4.9296 2.8461 4.0021 Ni
2.4648 1.4231 0.0085 Ni
4.9296 4.2733 1.9614 Ni
3.6937 2.1325 1.9614 Ni
4.9296 1.4190 6.0428 Ni
6.1656 2.1325 1.9614 Ni
3.6937 3.5597 6.0428 Ni
6.1656 3.5597 6.0428 Ni
0.0000 0.0000 0.0000 Au
```

**Energy of formation from the pure elements**: -4.7 kcal/mol of atoms
**Magnetization**: 2.8 μB per formula unit
**Calculated total energy**: -5.586 eV/atom

***

# 2
Density functional theory data (GGA-PBE) for a relaxed FeB2Pt2 crystal.

Geometry as POSCAR:
```
FeB2Pt2
1.0
3.7832 0.0000 0.0000
0.0000 3.7832 0.0000
1.8916 1.8916 4.1748
Pt Fe B
2 1 2
Cartesian
1.8916 3.7832 2.0874 Pt
3.7832 1.8916 2.0874 Pt
0.0000 0.0000 0.0000 Fe
3.7832 3.7832 3.3265 B
1.8916 1.8916 0.8483 B
```

**Energy of formation from the pure elements**: 0.8 kcal/mol of atoms
**Polymorph energy (0 for the lowest one)**: 0.0 meV per atom
**Magnetization**: 2.6 μB per formula unit
**Calculated total energy**: -6.747 eV/atom